[1]
Material: LaV2Os2
Method: DFT, PBE
State: relaxed

```
LaV2Os2
1.0
-2.1071 2.1071 5.3149
2.1071 -2.1071 5.3149
2.1071 2.1071 -5.3149
La V Os
1 2 2
direct
0.0000 0.0000 0.0000
0.2500 0.7500 0.5000
0.7500 0.2500 0.5000
0.3750 0.3750 0.0000
0.6250 0.6250 0.0000
```

[2]
Material: LaVOs2
Method: DFT, PBE
State: relaxed

```
LaVOs2
1.0
0.0000 3.2920 3.2920
3.2920 0.0000 3.2920
3.2920 3.2920 0.0000
La V Os
1 1 2
direct
0.0000 0.0000 0.0000
0.5000 0.5000 0.5000
0.2500 0.2500 0.2500
0.7500 0.7500 0.7500
```

[3]
Material: La2VOs
Method: DFT, PBE
State: relaxed

```
La2VOs
1.0
0.0000 3.6388 3.6388
3.6388 0.0000 3.6388
3.6388 3.6388 0.0000
La V Os
2 1 1
direct
0.2500 0.2500 0.2500
0.7500 0.7500 0.7500
0.0000 0.0000 0.0000
0.5000 0.5000 0.5000
```

[4]
Material: LaVOs3
Method: DFT, PBE
State: relaxed

```
LaVOs3
1.0
4.6072 0.0000 0.0000
0.0000 4.6072 0.0000
0.0000 0.0000 4.6072
La V Os
1 1 3
direct
0.0000 0.0000 0.0000
0.5000 0.5000 0.5000
0.0000 0.5000 0.5000
0.5000 0.0000 0.5000
0.5000 0.5000 0.0000
```

[5]
Material: La2VOs
Method: DFT, PBE
State: relaxed

```
La2VOs
1.0
-4.0750 4.0750 3.0879
4.0750 -4.0750 3.0879
4.0750 4.0750 -3.0879
La V Os
4 2 2
direct
0.0837 0.6250 0.9587
0.3750 0.3337 0.4587
0.6663 0.1250 0.0413
0.8750 0.9163 0.5413
0.2500 0.7500 0.5000
0.5000 0.5000 0.0000
0.0000 0.0000 0.0000
0.7500 0.2500 0.5000
```

[6]
Material: LaV3Os
Method: DFT, PBE
State: relaxed

```
LaV3Os
1.0
4.7607 0.0000 0.0000
0.0000 4.7607 0.0000
0.0000 0.0000 4.7607
La V Os
1 3 1
direct
0.0000 0.0000 0.0000
0.0000 0.5000 0.5000
0.5000 0.0000 0.5000
0.5000 0.5000 0.0000
0.5000 0.5000 0.5000
```

[7]
Material: LaV2Os2
Method: DFT, PBE
State: relaxed

```
LaV2Os2
1.0
7.7084 0.0000 0.0000
0.0000 7.7084 0.0000
0.0000 0.0000 2.8816
La V Os
2 4 4
direct
0.0000 0.0000 0.0000
0.5000 0.5000 0.0000
0.1385 0.3615 0.5000
0.3615 0.8615 0.5000
0.6385 0.1385 0.5000
0.8615 0.6385 0.5000
0.1433 0.6433 0.0000
0.3567 0.1433 0.0000
0.6433 0.8567 0.0000
0.8567 0.3567 0.0000
```

[8]
Material: LaV2Os2
Method: DFT, PBE
State: relaxed

```
LaV2Os2
1.0
-2.1405 2.1405 5.1243
2.1405 -2.1405 5.1243
2.1405 2.1405 -5.1243
La V Os
1 2 2
direct
0.0000 0.0000 0.0000
0.3700 0.3700 0.0000
0.6300 0.6300 0.0000
0.2500 0.7500 0.5000
0.7500 0.2500 0.5000
```

[9]
Material: LaVOs2
Method: DFT, PBE
State: relaxed

```
LaVOs2
1.0
-3.6249 3.6249 2.9808
3.6249 -3.6249 2.9808
3.6249 3.6249 -2.9808
La V Os
2 2 4
direct
0.0000 0.0000 0.0000
0.7500 0.2500 0.5000
0.2500 0.7500 0.5000
0.5000 0.5000 0.0000
0.1811 0.1250 0.5561
0.3750 0.8189 0.9439
0.5689 0.6250 0.4439
0.8750 0.4311 0.0561
```

[10]
Material: LaV3Os
Method: DFT, PBE
State: relaxed

```
LaV3Os
1.0
4.4720 0.0000 0.0000
0.0000 4.4720 0.0000
0.0000 0.0000 4.4720
La V Os
1 3 1
direct
0.0000 0.0000 0.0000
0.0000 0.0000 0.5000
0.0000 0.5000 0.0000
0.5000 0.0000 0.0000
0.5000 0.5000 0.5000
```

[11]
Material: LaOsW3
Method: DFT, PBE
State: relaxed

```
LaOsW3
1.0
4.6967 0.0000 0.0000
0.0000 4.6967 0.0000
0.0000 0.0000 4.6967
La Os W
1 1 3
direct
0.0000 0.0000 0.0000
0.5000 0.5000 0.5000
0.0000 0.0000 0.5000
0.0000 0.5000 0.0000
0.5000 0.0000 0.0000
```

[12]
Material: La2OsW
Method: DFT, PBE
State: relaxed

```
La2OsW
1.0
-1.6365 2.5643 5.0630
1.6365 -2.5643 5.0630
1.6365 2.5643 -5.0630
La Os W
2 1 1
direct
0.2397 0.2397 0.0000
0.7603 0.7603 0.0000
0.0000 0.5000 0.5000
0.5000 0.0000 0.5000
```

Number 1: calculated density 10.929 g/cm³, uncorrected energy -9.3160 eV/atom. Number 2: calculated density 13.272 g/cm³, uncorrected energy -8.6906 eV/atom. Number 3: calculated density 8.943 g/cm³, uncorrected energy -7.2257 eV/atom. Number 4: calculated density 12.914 g/cm³, uncorrected energy -8.8311 eV/atom. Number 5: calculated density 8.403 g/cm³, uncorrected energy -6.9533 eV/atom. Number 6: calculated density 7.417 g/cm³, uncorrected energy -8.1505 eV/atom. Number 7: calculated density 12.050 g/cm³, uncorrected energy -9.0074 eV/atom. Number 8: calculated density 10.984 g/cm³, uncorrected energy -9.1354 eV/atom. Number 9: calculated density 12.090 g/cm³, uncorrected energy -8.6113 eV/atom. Number 10: calculated density 8.948 g/cm³, uncorrected energy -6.7109 eV/atom. Number 11: calculated density 14.115 g/cm³, uncorrected energy -7.7544 eV/atom. Number 12: calculated density 12.736 g/cm³, uncorrected energy -7.8235 eV/atom.